Computed, not measured: a relaxed PmTmNiPt crystal at the PBE-GGA level of DFT. Values from VASP.

```
&SYSTEM
  ibrav = 0, nat = 4, ntyp = 4
/
ATOMIC_SPECIES
Pm 145.00 Pm.upf
Tm 168.93 Tm.upf
Ni 58.69 Ni.upf
Pt 195.08 Pt.upf
CELL_PARAMETERS angstrom
4.416 0.000 0.000
0.000 1.929 5.102
0.000 -1.929 5.102
ATOMIC_POSITIONS crystal
Pm 0.000 0.000 0.000
Tm 0.500 0.281 0.281
Ni 0.000 0.723 0.723
Pt 0.500 0.569 0.569
```

energy relative to the elements	-0.831	eV per atom



Computed, not measured: a relaxed Pm2UNi3Pt12 crystal at the PBE-GGA level of DFT. Values from VASP.

```
&SYSTEM
  ibrav = 0, nat = 18, ntyp = 4
/
ATOMIC_SPECIES
Pm 145.00 Pm.upf
U 238.03 U.upf
Ni 58.69 Ni.upf
Pt 195.08 Pt.upf
CELL_PARAMETERS angstrom
3.986 2.301 6.710
-3.986 2.301 6.710
0.000 -4.602 6.710
ATOMIC_POSITIONS crystal
Pm 0.113 0.113 0.113
Pm 0.887 0.887 0.887
U 0.500 0.500 0.500
Ni 0.000 0.500 0.500
Ni 0.500 0.000 0.500
Ni 0.500 0.500 0.000
Pt 0.103 0.632 0.632
Pt 0.130 0.130 0.630
Pt 0.130 0.630 0.130
Pt 0.368 0.368 0.897
Pt 0.368 0.897 0.368
Pt 0.370 0.870 0.870
Pt 0.630 0.130 0.130
Pt 0.632 0.103 0.632
Pt 0.632 0.632 0.103
Pt 0.870 0.370 0.870
Pt 0.870 0.870 0.370
Pt 0.897 0.368 0.368
```

energy relative to the elements	-0.145	eV per atom



Computed, not measured: a relaxed PmYNiPt crystal at the PBE-GGA level of DFT. Values from VASP.

```
&SYSTEM
  ibrav = 0, nat = 4, ntyp = 4
/
ATOMIC_SPECIES
Pm 145.00 Pm.upf
Y 88.91 Y.upf
Ni 58.69 Ni.upf
Pt 195.08 Pt.upf
CELL_PARAMETERS angstrom
0.000 3.500 3.500
3.500 0.000 3.500
3.500 3.500 0.000
ATOMIC_POSITIONS crystal
Pm 0.000 0.000 0.000
Y 0.500 0.500 0.500
Ni 0.250 0.250 0.250
Pt 0.750 0.750 0.750
```

energy relative to the elements	-0.720	eV per atom



Computed, not measured: a relaxed PmYNiPt crystal at the PBE-GGA level of DFT. Values from VASP.

```
&SYSTEM
  ibrav = 0, nat = 4, ntyp = 4
/
ATOMIC_SPECIES
Pm 145.00 Pm.upf
Y 88.91 Y.upf
Ni 58.69 Ni.upf
Pt 195.08 Pt.upf
CELL_PARAMETERS angstrom
4.401 0.000 0.000
0.000 1.948 5.191
0.000 -1.948 5.191
ATOMIC_POSITIONS crystal
Pm 0.000 0.000 0.000
Y 0.500 0.280 0.280
Ni 0.000 0.720 0.720
Pt 0.500 0.566 0.566
```

energy relative to the elements	-0.806	eV per atom



Computed, not measured: a relaxed Pm2ZnNi3Pt12 crystal at the PBE-GGA level of DFT. Values from VASP.

```
&SYSTEM
  ibrav = 0, nat = 18, ntyp = 4
/
ATOMIC_SPECIES
Pm 145.00 Pm.upf
Zn 65.41 Zn.upf
Ni 58.69 Ni.upf
Pt 195.08 Pt.upf
CELL_PARAMETERS angstrom
4.068 2.349 6.195
-4.068 2.349 6.195
0.000 -4.698 6.195
ATOMIC_POSITIONS crystal
Pm 0.115 0.115 0.115
Pm 0.885 0.885 0.885
Zn 0.500 0.500 0.500
Ni 0.000 0.500 0.500
Ni 0.500 0.000 0.500
Ni 0.500 0.500 0.000
Pt 0.122 0.634 0.634
Pt 0.133 0.133 0.614
Pt 0.133 0.614 0.133
Pt 0.366 0.366 0.878
Pt 0.366 0.878 0.366
Pt 0.386 0.867 0.867
Pt 0.614 0.133 0.133
Pt 0.634 0.122 0.634
Pt 0.634 0.634 0.122
Pt 0.867 0.386 0.867
Pt 0.867 0.867 0.386
Pt 0.878 0.366 0.366
```

energy relative to the elements	-0.039	eV per atom



Computed, not measured: a relaxed Pm2Zn3Ni12Pt crystal at the PBE-GGA level of DFT. Values from VASP.

```
&SYSTEM
  ibrav = 0, nat = 18, ntyp = 4
/
ATOMIC_SPECIES
Pm 145.00 Pm.upf
Zn 65.41 Zn.upf
Ni 58.69 Ni.upf
Pt 195.08 Pt.upf
CELL_PARAMETERS angstrom
2.647 1.528 10.810
-2.647 1.528 10.810
0.000 -3.056 10.810
ATOMIC_POSITIONS crystal
Pm 0.141 0.141 0.141
Pm 0.859 0.859 0.859
Zn 0.000 0.500 0.500
Zn 0.500 0.000 0.500
Zn 0.500 0.500 0.000
Ni 0.096 0.096 0.649
Ni 0.096 0.649 0.096
Ni 0.108 0.605 0.605
Ni 0.351 0.904 0.904
Ni 0.395 0.395 0.892
Ni 0.395 0.892 0.395
Ni 0.605 0.108 0.605
Ni 0.605 0.605 0.108
Ni 0.649 0.096 0.096
Ni 0.892 0.395 0.395
Ni 0.904 0.351 0.904
Ni 0.904 0.904 0.351
Pt 0.500 0.500 0.500
```

energy relative to the elements	0.028	eV per atom



Computed, not measured: a relaxed PmZnNiPt3 crystal at the PBE-GGA level of DFT. Values from VASP.

```
&SYSTEM
  ibrav = 0, nat = 12, ntyp = 4
/
ATOMIC_SPECIES
Pm 145.00 Pm.upf
Zn 65.41 Zn.upf
Ni 58.69 Ni.upf
Pt 195.08 Pt.upf
CELL_PARAMETERS angstrom
3.211 -6.007 0.000
3.211 6.007 0.000
0.000 0.000 5.621
ATOMIC_POSITIONS crystal
Pm 0.208 0.792 0.750
Pm 0.792 0.208 0.250
Zn 0.145 0.855 0.250
Zn 0.855 0.145 0.750
Ni 0.426 0.574 0.750
Ni 0.574 0.426 0.250
Pt 0.210 0.210 0.000
Pt 0.210 0.210 0.500
Pt 0.350 0.650 0.250
Pt 0.650 0.350 0.750
Pt 0.790 0.790 0.000
Pt 0.790 0.790 0.500
```

energy relative to the elements	-0.465	eV per atom



Computed, not measured: a relaxed Pm2Zn3NiPt4 crystal at the PBE-GGA level of DFT. Values from VASP.

```
&SYSTEM
  ibrav = 0, nat = 10, ntyp = 4
/
ATOMIC_SPECIES
Pm 145.00 Pm.upf
Zn 65.41 Zn.upf
Ni 58.69 Ni.upf
Pt 195.08 Pt.upf
CELL_PARAMETERS angstrom
4.075 0.000 0.000
0.000 4.075 0.000
0.000 0.000 11.179
ATOMIC_POSITIONS crystal
Pm 0.000 0.500 0.245
Pm 0.500 0.000 0.755
Zn 0.000 0.000 0.000
Zn 0.000 0.500 0.637
Zn 0.500 0.000 0.363
Ni 0.500 0.500 0.000
Pt 0.000 0.000 0.500
Pt 0.000 0.500 0.859
Pt 0.500 0.000 0.141
Pt 0.500 0.500 0.500
```

energy relative to the elements	-0.718	eV per atom



Computed, not measured: a relaxed Pm2Zn4NiPt3 crystal at the PBE-GGA level of DFT. Values from VASP.

```
&SYSTEM
  ibrav = 0, nat = 10, ntyp = 4
/
ATOMIC_SPECIES
Pm 145.00 Pm.upf
Zn 65.41 Zn.upf
Ni 58.69 Ni.upf
Pt 195.08 Pt.upf
CELL_PARAMETERS angstrom
4.042 0.000 0.000
0.000 4.042 0.000
0.000 0.000 11.339
ATOMIC_POSITIONS crystal
Pm 0.000 0.500 0.244
Pm 0.500 0.000 0.756
Zn 0.000 0.000 0.500
Zn 0.000 0.500 0.871
Zn 0.500 0.000 0.129
Zn 0.500 0.500 0.500
Ni 0.500 0.500 0.000
Pt 0.000 0.000 0.000
Pt 0.000 0.500 0.647
Pt 0.500 0.000 0.353
```

energy relative to the elements	-0.677	eV per atom



Computed, not measured: a relaxed PmZn5Ni2Pt crystal at the PBE-GGA level of DFT. Values from VASP.

```
&SYSTEM
  ibrav = 0, nat = 9, ntyp = 4
/
ATOMIC_SPECIES
Pm 145.00 Pm.upf
Zn 65.41 Zn.upf
Ni 58.69 Ni.upf
Pt 195.08 Pt.upf
CELL_PARAMETERS angstrom
4.651 0.000 0.000
0.000 4.651 0.000
0.000 0.000 6.954
ATOMIC_POSITIONS crystal
Pm 0.000 0.000 0.000
Zn 0.000 0.500 0.304
Zn 0.000 0.500 0.696
Zn 0.500 0.000 0.304
Zn 0.500 0.000 0.696
Zn 0.500 0.500 0.000
Ni 0.500 0.500 0.333
Ni 0.500 0.500 0.667
Pt 0.000 0.000 0.500
```

energy relative to the elements	-0.196	eV per atom



Computed, not measured: a relaxed PmZrNiPt crystal at the PBE-GGA level of DFT. Values from VASP.

```
&SYSTEM
  ibrav = 0, nat = 4, ntyp = 4
/
ATOMIC_SPECIES
Pm 145.00 Pm.upf
Zr 91.22 Zr.upf
Ni 58.69 Ni.upf
Pt 195.08 Pt.upf
CELL_PARAMETERS angstrom
0.000 3.415 3.415
3.415 0.000 3.415
3.415 3.415 0.000
ATOMIC_POSITIONS crystal
Pm 0.000 0.000 0.000
Zr 0.500 0.500 0.500
Ni 0.250 0.250 0.250
Pt 0.750 0.750 0.750
```

energy relative to the elements	-0.554	eV per atom



Computed, not measured: a relaxed Pm3PuNi8 crystal at the PBE-GGA level of DFT. Values from VASP.

```
&SYSTEM
  ibrav = 0, nat = 12, ntyp = 3
/
ATOMIC_SPECIES
Pm 145.00 Pm.upf
Pu 244.00 Pu.upf
Ni 58.69 Ni.upf
CELL_PARAMETERS angstrom
2.563 1.480 8.371
-2.563 1.480 8.371
0.000 -2.960 8.371
ATOMIC_POSITIONS crystal
Pm 0.000 0.000 0.000
Pm 0.126 0.126 0.126
Pm 0.622 0.622 0.622
Pu 0.498 0.498 0.498
Ni 0.060 0.060 0.563
Ni 0.060 0.563 0.060
Ni 0.063 0.561 0.561
Ni 0.312 0.312 0.312
Ni 0.561 0.063 0.561
Ni 0.561 0.561 0.063
Ni 0.563 0.060 0.060
Ni 0.812 0.812 0.812
```

energy relative to the elements	-0.308	eV per atom